Record 1
# BaBi2Ir | the Alexandria database | SCAN | PBEsol geometry
# crystal system	cubic
# formation energy from the elements	193	meV/atom
# N(E_F)	8.37	states/eV/cell
# calculated volume	104.4	Å³/f.u.
# magnetic moment	0.000	μB/atom
data_BaBi2Ir
_chemical_formula_sum 'Ba4 Bi8 Ir4'
_cell_length_a 7.476
_cell_length_b 7.476
_cell_length_c 7.476
_cell_angle_alpha 90.00
_cell_angle_beta 90.00
_cell_angle_gamma 90.00
_symmetry_space_group_name_H-M 'F m -3 m'
_symmetry_Int_Tables_number 225
_symmetry_space_group_name_Hall '-F 4 2 3'
loop_
_atom_site_label
_atom_site_fract_x
_atom_site_fract_y
_atom_site_fract_z
Ba1 0.000 0.000 0.000
Bi1 0.250 0.250 0.250
Ir1 0.000 0.000 0.500

Record 2
# YReSb2I | the Alexandria database | SCAN | PBEsol geometry
# crystal system	tetragonal
# formation energy (no corrections)	225	kJ/mol of formula units
# N(E_F)	3.27	states/eV/cell
# calculated volume	143.9	Å³/f.u.
# magnetic moment	0.000	μB/atom
data_YReSb2I
_chemical_formula_sum 'Y1 Re1 Sb2 I1'
_cell_length_a 5.063
_cell_length_b 5.063
_cell_length_c 5.612
_cell_angle_alpha 90.00
_cell_angle_beta 90.00
_cell_angle_gamma 90.00
_symmetry_space_group_name_H-M 'P 4/m m m'
_symmetry_Int_Tables_number 123
_symmetry_space_group_name_Hall '-P 4 2'
loop_
_atom_site_label
_atom_site_fract_x
_atom_site_fract_y
_atom_site_fract_z
Y1 0.000 0.000 0.000
Re1 0.500 0.500 0.500
Sb1 0.000 0.500 0.500
I1 0.500 0.500 0.000

Record 3
# KTcAg2 | the Alexandria database | SCAN | PBEsol geometry
# crystal system	tetragonal
# E above lowest polymorph	0.00	eV/f.u.
# formation energy from the elements	680	meV/atom
# N(E_F)	2.31	states/eV/cell
# calculated volume	74.3	Å³/f.u.
# magnetic moment	0.000	μB/atom
data_KTcAg2
_chemical_formula_sum 'K1 Tc1 Ag2'
_cell_length_a 2.751
_cell_length_b 2.751
_cell_length_c 9.812
_cell_angle_alpha 90.00
_cell_angle_beta 90.00
_cell_angle_gamma 90.00
_symmetry_space_group_name_H-M 'P 4/m m m'
_symmetry_Int_Tables_number 123
_symmetry_space_group_name_Hall '-P 4 2'
loop_
_atom_site_label
_atom_site_fract_x
_atom_site_fract_y
_atom_site_fract_z
K1 0.000 0.000 0.000
Tc1 0.000 0.000 0.500
Ag1 0.500 0.500 0.289

Record 4
# ZnCl5 | the Alexandria database | SCAN | PBEsol geometry
# crystal system	monoclinic
# formation energy (no corrections)	-262	kJ/mol of formula units
# N(E_F)	4.87	states/eV/cell
# calculated volume	169.4	Å³/f.u.
# magnetic moment	0.004	μB/atom
data_ZnCl5
_chemical_formula_sum 'Zn2 Cl10'
_cell_length_a 14.505
_cell_length_b 3.148
_cell_length_c 7.426
_cell_angle_alpha 90.00
_cell_angle_beta 92.51
_cell_angle_gamma 90.00
_symmetry_space_group_name_H-M 'C 1 m 1'
_symmetry_Int_Tables_number 8
_symmetry_space_group_name_Hall 'C -2y'
loop_
_atom_site_label
_atom_site_fract_x
_atom_site_fract_y
_atom_site_fract_z
Zn1 0.000 0.000 0.000
Cl1 0.152 0.000 0.931
Cl2 0.242 0.500 0.252
Cl3 0.308 0.500 0.491
Cl4 0.430 0.000 0.800
Cl5 0.488 0.000 0.231

Record 5
# La3HPb | the Alexandria database | SCAN | PBEsol geometry
# crystal system	cubic
# total DFT energy (no corrections)	-1.5548	Ha/atom
# N(E_F)	4.57	states/eV/cell
# calculated volume	126.3	Å³/f.u.
# magnetic moment	0.303	μB/atom
data_La3HPb
_chemical_formula_sum 'La3 H1 Pb1'
_cell_length_a 5.017
_cell_length_b 5.017
_cell_length_c 5.017
_cell_angle_alpha 90.00
_cell_angle_beta 90.00
_cell_angle_gamma 90.00
_symmetry_space_group_name_H-M 'P m -3 m'
_symmetry_Int_Tables_number 221
_symmetry_space_group_name_Hall '-P 4 2 3'
loop_
_atom_site_label
_atom_site_fract_x
_atom_site_fract_y
_atom_site_fract_z
La1 0.000 0.000 0.500
H1 0.000 0.000 0.000
Pb1 0.500 0.500 0.500

Record 6
# Ag2Mo | the Alexandria database | SCAN | PBEsol geometry
# crystal system	orthorhombic
# E above lowest polymorph	0.13	eV/f.u.
# formation energy from the elements	684	meV/atom
# N(E_F)	11.21	states/eV/cell
# calculated volume	47.9	Å³/f.u.
# magnetic moment	0.000	μB/atom
data_Ag2Mo
_chemical_formula_sum 'Ag8 Mo4'
_cell_length_a 2.661
_cell_length_b 15.248
_cell_length_c 4.723
_cell_angle_alpha 90.00
_cell_angle_beta 90.00
_cell_angle_gamma 90.00
_symmetry_space_group_name_H-M 'C m c m'
_symmetry_Int_Tables_number 63
_symmetry_space_group_name_Hall '-C 2c 2'
loop_
_atom_site_label
_atom_site_fract_x
_atom_site_fract_y
_atom_site_fract_z
Ag1 0.000 0.052 0.250
Ag2 0.000 0.280 0.750
Mo1 0.000 0.388 0.250

Question: Which of these has the lowest N(E_F)?
Answer: KTcAg2